Record 1
## PmTm2Pt (PBE)

Data for PmTm2Pt after structural relaxation.

As for the offset from the most stable computed form: 150 meV per atom. The space group is No. 160. Its theoretical density is 9.454 g cm⁻³. As for the formation energy: -0.564 eV/atom. The calculation puts the magnetization at 0.000 μB per atom.

Cell: 9.224 9.224 9.224 Å, 24.55 24.55 24.55°
Positions (direct):
Pm (0.000, 0.000, 0.000)
Tm (0.228, 0.228, 0.228)
Tm (0.443, 0.443, 0.443)
Pt (0.836, 0.836, 0.836)



Record 2
## SrZrTe3Pd (PBE)

Data for SrZrTe3Pd after structural relaxation.

The space group is No. 11. Its theoretical density is 6.517 g cm⁻³. The calculation puts the magnetization at 0.000 μB per atom. Its energy is -0.1916 hartree per atom.

Cell: 8.148 4.176 10.492 Å, 90.00 107.52 90.00°
Positions (direct):
Sr (0.250, 0.250, 0.204)
Sr (0.750, 0.750, 0.796)
Zr (0.207, 0.750, 0.684)
Zr (0.793, 0.250, 0.316)
Te (0.070, 0.750, 0.376)
Te (0.226, 0.750, 0.955)
Te (0.433, 0.250, 0.640)
Te (0.567, 0.750, 0.360)
Te (0.774, 0.250, 0.045)
Te (0.930, 0.250, 0.624)
Pd (0.414, 0.250, 0.892)
Pd (0.586, 0.750, 0.108)



Record 3
## AcLaSi2 (PBE)

Data for AcLaSi2 after structural relaxation.

As for the offset from the most stable computed form: 256 meV per atom. The space group is No. 123. Its theoretical density is 6.588 g cm⁻³. The calculation puts the magnetization at 0.000 μB per atom.

Cell: 3.574 3.574 8.328 Å, 90.00 90.00 90.00°
Positions (direct):
Ac (0.000, 0.000, 0.000)
La (0.000, 0.000, 0.500)
Si (0.500, 0.500, 0.257)
Si (0.500, 0.500, 0.743)



Record 4
## Tb3TmBi3 (PBE)

Data for Tb3TmBi3 after structural relaxation.

As for the offset from the most stable computed form: 74 meV per atom. The space group is No. 148. Its theoretical density is 9.403 g cm⁻³. As for the formation energy: -0.647 eV/atom. The calculation puts the magnetization at 0.000 μB per atom.

Cell: 8.193 8.193 8.193 Å, 67.29 67.29 67.29°
Positions (direct):
Tb (0.084, 0.336, 0.827)
Tb (0.173, 0.916, 0.664)
Tb (0.336, 0.827, 0.084)
Tb (0.664, 0.173, 0.916)
Tb (0.827, 0.084, 0.336)
Tb (0.916, 0.664, 0.173)
Tm (0.333, 0.333, 0.333)
Tm (0.667, 0.667, 0.667)
Bi (0.082, 0.692, 0.478)
Bi (0.308, 0.522, 0.918)
Bi (0.478, 0.082, 0.692)
Bi (0.522, 0.918, 0.308)
Bi (0.692, 0.478, 0.082)
Bi (0.918, 0.308, 0.522)



Record 5
## SrCa4Te5 (PBE)

Data for SrCa4Te5 after structural relaxation.

The space group is No. 139. Its theoretical density is 4.351 g cm⁻³. The calculation puts the magnetization at 0.000 μB per atom. Its energy is -0.1543 hartree per atom.

Cell: 16.462 16.462 16.462 Å, 164.02 164.02 22.68°
Positions (direct):
Sr (0.000, 0.000, 0.000)
Ca (0.201, 0.201, 0.000)
Ca (0.399, 0.399, 0.000)
Ca (0.601, 0.601, 0.000)
Ca (0.799, 0.799, 0.000)
Te (0.103, 0.103, 0.000)
Te (0.300, 0.300, 0.000)
Te (0.500, 0.500, 0.000)
Te (0.700, 0.700, 0.000)
Te (0.897, 0.897, 0.000)



Record 6
## YZnSb2Te (PBE)

Data for YZnSb2Te after structural relaxation.

As for the offset from the most stable computed form: 0 meV per atom. The space group is No. 123. Its theoretical density is 6.020 g cm⁻³. The calculation puts the magnetization at 0.000 μB per atom.

Cell: 5.198 5.198 5.365 Å, 90.00 90.00 90.00°
Positions (direct):
Y (0.000, 0.000, 0.000)
Zn (0.500, 0.500, 0.500)
Sb (0.000, 0.500, 0.500)
Sb (0.500, 0.000, 0.500)
Te (0.500, 0.500, 0.000)



Record 7
## AgSF2 (PBE)

Data for AgSF2 after structural relaxation.

As for the offset from the most stable computed form: 632 meV per atom. The space group is No. 225. Its theoretical density is 5.138 g cm⁻³. The calculation puts the magnetization at 0.735 μB per atom.

Cell: 4.333 4.333 4.333 Å, 60.00 60.00 60.00°
Positions (direct):
Ag (0.000, 0.000, 0.000)
S (0.500, 0.500, 0.500)
F (0.250, 0.250, 0.250)
F (0.750, 0.750, 0.750)



Record 8
## TlCd2Bi2 (PBE)

Data for TlCd2Bi2 after structural relaxation.

As for the offset from the most stable computed form: 71 meV per atom. The space group is No. 70. Its theoretical density is 8.582 g cm⁻³. As for the formation energy: 0.078 eV/atom. The calculation puts the magnetization at 0.000 μB per atom.

Cell: 10.817 9.377 6.854 Å, 82.00 59.14 38.86°
Positions (direct):
Tl (0.125, 0.125, 0.125)
Tl (0.875, 0.875, 0.875)
Cd (0.160, 0.590, 0.160)
Cd (0.410, 0.840, 0.410)
Cd (0.590, 0.160, 0.590)
Cd (0.840, 0.410, 0.840)
Bi (0.270, 0.270, 0.480)
Bi (0.480, 0.480, 0.270)
Bi (0.520, 0.520, 0.730)
Bi (0.730, 0.730, 0.520)



Record 9
## CdCuBr2 (PBE)

Data for CdCuBr2 after structural relaxation.

As for the offset from the most stable computed form: 237 meV per atom. The space group is No. 12. Its theoretical density is 4.896 g cm⁻³. The calculation puts the magnetization at 0.000 μB per atom.

Cell: 5.547 5.547 4.277 Å, 110.85 110.85 89.51°
Positions (direct):
Cd (0.000, 0.000, 0.000)
Cu (0.500, 0.500, 0.000)
Br (0.000, 0.500, 0.000)
Br (0.500, 0.000, 0.000)



Record 10
## Si2P (PBE)

Data for Si2P after structural relaxation.

As for the offset from the most stable computed form: 197 meV per atom. The space group is No. 164. Its theoretical density is 3.072 g cm⁻³. The calculation puts the magnetization at 0.000 μB per atom.

Cell: 3.487 3.487 4.474 Å, 90.00 90.00 120.00°
Positions (direct):
Si (0.333, 0.667, 0.324)
Si (0.667, 0.333, 0.676)
P (0.000, 0.000, 0.000)



Record 11
## Y2ZnRhSe (PBE)

Data for Y2ZnRhSe after structural relaxation.

The space group is No. 123. Its theoretical density is 5.466 g cm⁻³. The calculation puts the magnetization at 0.000 μB per atom. Its energy is -0.1887 hartree per atom.

Cell: 5.387 5.387 4.450 Å, 90.00 90.00 90.00°
Positions (direct):
Y (0.000, 0.500, 0.000)
Y (0.500, 0.000, 0.000)
Zn (0.000, 0.000, 0.000)
Rh (0.000, 0.000, 0.500)
Se (0.500, 0.500, 0.500)



Record 12
## Mg2MnSbPd4 (PBE)

Data for Mg2MnSbPd4 after structural relaxation.

The space group is No. 166. Its theoretical density is 8.166 g cm⁻³. The calculation puts the magnetization at 0.580 μB per atom. Its energy is -0.1909 hartree per atom.

Cell: 7.887 7.887 7.887 Å, 33.40 33.40 33.40°
Positions (direct):
Mg (0.247, 0.247, 0.247)
Mg (0.753, 0.753, 0.753)
Mn (0.500, 0.500, 0.500)
Sb (0.000, 0.000, 0.000)
Pd (0.127, 0.127, 0.127)
Pd (0.377, 0.377, 0.377)
Pd (0.623, 0.623, 0.623)
Pd (0.873, 0.873, 0.873)



Record 13
## CoBHPd2 (PBE)

Data for CoBHPd2 after structural relaxation.

The space group is No. 123. Its theoretical density is 8.565 g cm⁻³. The calculation puts the magnetization at 0.416 μB per atom. Its energy is -0.1858 hartree per atom.

Cell: 4.436 4.436 2.795 Å, 90.00 90.00 90.00°
Positions (direct):
Co (0.000, 0.000, 0.000)
B (0.500, 0.500, 0.500)
H (0.500, 0.500, 0.000)
Pd (0.000, 0.500, 0.500)
Pd (0.500, 0.000, 0.500)



Record 14
## ScTiIN2 (PBE)

Data for ScTiIN2 after structural relaxation.

As for the offset from the most stable computed form: 606 meV per atom. The space group is No. 123. Its theoretical density is 4.324 g cm⁻³. The calculation puts the magnetization at 0.003 μB per atom.

Cell: 4.130 4.130 5.578 Å, 90.00 90.00 90.00°
Positions (direct):
Sc (0.000, 0.000, 0.000)
Ti (0.500, 0.500, 0.500)
I (0.000, 0.000, 0.500)
N (0.000, 0.500, 0.000)
N (0.500, 0.000, 0.000)



Record 15
## Ta3BeGe (PBE)

Data for Ta3BeGe after structural relaxation.

As for the offset from the most stable computed form: 0 meV per atom. The space group is No. 221. Its theoretical density is 12.299 g cm⁻³. As for the formation energy: 0.514 eV/atom. The calculation puts the magnetization at 0.000 μB per atom.

Cell: 4.385 4.385 4.385 Å, 90.00 90.00 90.00°
Positions (direct):
Ta (0.000, 0.000, 0.500)
Ta (0.000, 0.500, 0.000)
Ta (0.500, 0.000, 0.000)
Be (0.000, 0.000, 0.000)
Ge (0.500, 0.500, 0.500)



Record 16
## CsAlGa2 (PBE)

Data for CsAlGa2 after structural relaxation.

The space group is No. 166. Its theoretical density is 4.031 g cm⁻³. As for the formation energy: -0.005 eV/atom. The calculation puts the magnetization at 0.000 μB per atom.

Cell: 7.702 7.702 7.702 Å, 33.40 33.40 33.40°
Positions (direct):
Cs (0.000, 0.000, 0.000)
Al (0.500, 0.500, 0.500)
Ga (0.206, 0.206, 0.206)
Ga (0.794, 0.794, 0.794)



Record 17
## TbScAlNi (PBE)

Data for TbScAlNi after structural relaxation.

The space group is No. 216. Its theoretical density is 6.023 g cm⁻³. As for the formation energy: -0.335 eV/atom. The calculation puts the magnetization at 0.000 μB per atom.

Cell: 4.833 4.833 4.833 Å, 60.00 60.00 60.00°
Positions (direct):
Tb (0.000, 0.000, 0.000)
Sc (0.500, 0.500, 0.500)
Al (0.250, 0.250, 0.250)
Ni (0.750, 0.750, 0.750)



Record 18
## Pr3GeRu (PBE)

Data for Pr3GeRu after structural relaxation.

The space group is No. 12. Its theoretical density is 7.139 g cm⁻³. As for the formation energy: -0.394 eV/atom. The calculation puts the magnetization at 0.000 μB per atom.

Cell: 7.637 7.637 8.389 Å, 94.32 94.32 34.67°
Positions (direct):
Pr (0.045, 0.045, 0.301)
Pr (0.239, 0.239, 0.687)
Pr (0.383, 0.383, 0.066)
Pr (0.617, 0.617, 0.934)
Pr (0.761, 0.761, 0.313)
Pr (0.955, 0.955, 0.699)
Ge (0.409, 0.409, 0.450)
Ge (0.591, 0.591, 0.550)
Ru (0.196, 0.196, 0.091)
Ru (0.804, 0.804, 0.909)



Record 19
## Tm4IrOs (PBE)

Data for Tm4IrOs after structural relaxation.

As for the offset from the most stable computed form: 0 meV per atom. The space group is No. 15. Its theoretical density is 12.067 g cm⁻³. As for the formation energy: -0.566 eV/atom. The calculation puts the magnetization at 0.000 μB per atom.

Cell: 7.745 7.745 6.234 Å, 108.63 108.63 110.17°
Positions (direct):
Tm (0.048, 0.696, 0.907)
Tm (0.243, 0.365, 0.736)
Tm (0.304, 0.952, 0.593)
Tm (0.365, 0.243, 0.236)
Tm (0.635, 0.757, 0.764)
Tm (0.696, 0.048, 0.407)
Tm (0.757, 0.635, 0.264)
Tm (0.952, 0.304, 0.093)
Ir (0.364, 0.636, 0.250)
Ir (0.636, 0.364, 0.750)
Os (0.001, 0.999, 0.750)
Os (0.999, 0.001, 0.250)



Record 20
## Hf2CSeBr (PBE)

Data for Hf2CSeBr after structural relaxation.

The space group is No. 123. Its theoretical density is 8.687 g cm⁻³. The calculation puts the magnetization at 0.000 μB per atom. Its energy is -0.2150 hartree per atom.

Cell: 5.056 5.056 3.947 Å, 90.00 90.00 90.00°
Positions (direct):
Hf (0.000, 0.500, 0.000)
Hf (0.500, 0.000, 0.000)
C (0.000, 0.000, 0.500)
Se (0.000, 0.000, 0.000)
Br (0.500, 0.500, 0.500)